Material: TbAgSn
Method: DFT, GGA-PBE
State: relaxed

Lattice parameters (Å, degrees): 4.812 4.812 3.556 90.00 90.00 120.00
Sites, in units of the cell vectors:
Tb  0.000  0.000  0.000
Ag  0.333  0.667  0.500
Sn  0.667  0.333  0.500

The density of states at the Fermi level is 0.71 states/eV per atom. The calculation puts the total energy at -4.362 eV/atom. The energy of formation is -51.5 kJ per mole of atoms.

=====

Material: Nd3Tm2Tl
Method: DFT, GGA-PBE
State: relaxed

Lattice parameters (Å, degrees): 9.196 9.196 7.051 90.00 90.00 40.67
Sites, in units of the cell vectors:
Nd  0.148  0.225  0.750
Nd  0.166  0.834  0.750
Nd  0.225  0.148  0.250
Nd  0.775  0.852  0.750
Nd  0.834  0.166  0.250
Nd  0.852  0.775  0.250
Tm  0.364  0.364  0.000
Tm  0.364  0.364  0.500
Tm  0.636  0.636  0.000
Tm  0.636  0.636  0.500
Tl  0.316  0.684  0.250
Tl  0.684  0.316  0.750

The density of states at the Fermi level is 1.38 states/eV per atom. The energy above the most stable polymorph in this dataset comes out at 0.026 eV/atom. The calculation puts the total energy at -4.350 eV/atom. The energy of formation is -7.8 kJ per mole of atoms.

=====

Material: BaPF3
Method: DFT, GGA-PBE
State: relaxed

Lattice parameters (Å, degrees): 5.098 5.098 5.098 90.00 90.00 90.00
Sites, in units of the cell vectors:
Ba  0.000  0.000  0.000
P  0.500  0.500  0.500
F  0.000  0.000  0.500
F  0.000  0.500  0.000
F  0.500  0.000  0.000

The density of states at the Fermi level is 2.74 states/eV per atom. The uncorrected formation energy is -1657 meV/atom. The energy above the most stable polymorph in this dataset comes out at 0.216 eV/atom. The calculation puts the total energy at -4.247 eV/atom.

=====

Material: LiTbGePt
Method: DFT, GGA-PBE
State: relaxed

Lattice parameters (Å, degrees): 4.633 4.633 4.633 60.00 60.00 60.00
Sites, in units of the cell vectors:
Li  0.000  0.000  0.000
Tb  0.750  0.750  0.750
Ge  0.250  0.250  0.250
Pt  0.500  0.500  0.500

The density of states at the Fermi level is 0.01 states/eV per atom. The energy above the most stable polymorph in this dataset comes out at 0.000 eV/atom. The calculation puts the total energy at -5.136 eV/atom. The energy of formation is -80.7 kJ per mole of atoms.

=====

Material: Nb2ClO5
Method: DFT, GGA-PBE
State: relaxed

Lattice parameters (Å, degrees): 6.175 6.175 6.175 145.67 130.61 61.53
Sites, in units of the cell vectors:
Nb  0.191  0.191  0.000
Nb  0.809  0.809  0.000
Cl  0.500  0.000  0.500
O  0.000  0.000  0.000
O  0.048  0.321  0.727
O  0.406  0.679  0.727
O  0.594  0.321  0.273
O  0.952  0.679  0.273

The density of states at the Fermi level is 0.20 states/eV per atom. The uncorrected formation energy is -1925 meV/atom. The calculation puts the total energy at -7.772 eV/atom.

=====

Material: Pr4Nd2SmTm2
Method: DFT, GGA-PBE
State: relaxed

Lattice parameters (Å, degrees): 8.176 8.176 8.129 107.59 107.59 36.87
Sites, in units of the cell vectors:
Pr  0.055  0.055  0.330
Pr  0.278  0.278  0.671
Pr  0.722  0.722  0.329
Pr  0.945  0.945  0.670
Nd  0.388  0.388  0.330
Nd  0.612  0.612  0.670
Sm  0.500  0.500  0.000
Tm  0.168  0.168  0.999
Tm  0.832  0.832  0.001

The density of states at the Fermi level is 1.62 states/eV per atom. The calculation puts the total energy at -4.680 eV/atom. The energy of formation is 2.1 kJ per mole of atoms.